The following is a DFT calculation (GGA-PBE) of an optimized crystal structure of Pd.

**Formation enthalpy at 0 K**: 0.198 eV/atom
**E above lowest polymorph**: 198 meV/atom
**Electronic total energy**: -4.977 eV/atom

a b c (Å): 4.373 9.686 2.950
angles (deg): 90.00 90.00 90.00
Space group Cmce (No. 64)
Unique sites:
Pd1 0.000 0.133 0.001

***

The following is a DFT calculation (GGA-PBE) of an optimized crystal structure of GdYTlCu2.

**Electronic total energy**: -4.506 eV/atom

a b c (Å): 3.644 4.279 14.153
angles (deg): 90.00 90.00 90.00
Space group Amm2 (No. 38)
Unique sites:
Gd1 0.000 0.000 0.000
Y1 0.000 0.000 0.269
Tl1 0.500 0.000 0.635
Cu1 0.500 0.000 0.431
Cu2 0.500 0.000 0.837